{"formula": "InGeBi", "functional": "PBE-GGA", "state": "optimized geometry", "lattice_angstrom": [[4.242, 0.000, 0.000], [1.716, 6.071, 0.000], [1.451, 0.438, 6.339]], "species": ["In", "In", "Ge", "Ge", "Bi", "Bi"], "fractional_positions": [[0.250, 0.110, 0.338], [0.750, 0.890, 0.662], [0.224, 0.798, 0.004], [0.776, 0.202, 0.996], [0.267, 0.414, 0.730], [0.733, 0.586, 0.270]], "density_g_cm3": 8.1, "dft_energy_ha_per_atom": -0.1330, "dos_ef_per_ev_fu": 1.17, "m_tot_mub_per_fu": 0.000, "de_polymorph_mev_per_atom": 11.3}